Entry 1:
First-principles (PBE) data for a relaxed La2PuAl crystal, as listed in the Alexandria database.

Cell and atoms, written as POSCAR:
```
La2PuAl
1.0
1.740 1.004 11.672
-1.740 1.004 11.672
0.000 -2.009 11.672
La Pu Al
2 1 1
direct
0.096 0.096 0.096
0.904 0.904 0.904
0.000 0.000 0.000
0.500 0.500 0.500
```

Calculated values
The theoretical density comes out at 7.45 g cm⁻³. The space group is No. 166. For the energy of formation, the calculation gives 0.2139 eV/atom.

Entry 2:
First-principles (PBE) data for a relaxed La2PuAl crystal, as listed in the Alexandria database.

Cell and atoms, written as POSCAR:
```
La2PuAl
1.0
0.000 3.872 3.872
3.872 0.000 3.872
3.872 3.872 0.000
La Pu Al
2 1 1
direct
0.250 0.250 0.250
0.750 0.750 0.750
0.000 0.000 0.000
0.500 0.500 0.500
```

Calculated values
The theoretical density comes out at 7.85 g cm⁻³. The space group is No. 225. For the energy of formation, the calculation gives -0.0110 eV/atom.

Entry 3:
First-principles (PBE) data for a relaxed La2PuAl crystal, as listed in the Alexandria database.

Cell and atoms, written as POSCAR:
```
La2PuAl
1.0
4.962 0.000 0.000
0.000 4.962 0.000
0.000 0.000 4.650
La Pu Al
2 1 1
direct
0.000 0.500 0.000
0.500 0.000 0.000
0.000 0.000 0.500
0.500 0.500 0.500
```

Calculated values
The theoretical density comes out at 7.96 g cm⁻³. The space group is No. 123. For the energy of formation, the calculation gives -0.0744 eV/atom.

Entry 4:
First-principles (PBE) data for a relaxed LaPuAlTl crystal, as listed in the Alexandria database.

Cell and atoms, written as POSCAR:
```
LaPuAlTl
1.0
0.000 3.826 3.826
3.826 0.000 3.826
3.826 3.826 0.000
La Pu Al Tl
1 1 1 1
direct
0.000 0.000 0.000
0.500 0.500 0.500
0.250 0.250 0.250
0.750 0.750 0.750
```

Calculated values
The theoretical density comes out at 9.10 g cm⁻³. The space group is No. 216. For the energy of formation, the calculation gives -0.1359 eV/atom.

Entry 5:
First-principles (PBE) data for a relaxed LaPuAlZn crystal, as listed in the Alexandria database.

Cell and atoms, written as POSCAR:
```
LaPuAlZn
1.0
0.000 3.700 3.700
3.700 0.000 3.700
3.700 3.700 0.000
La Pu Al Zn
1 1 1 1
direct
0.000 0.000 0.000
0.500 0.500 0.500
0.250 0.250 0.250
0.750 0.750 0.750
```

Calculated values
The theoretical density comes out at 7.79 g cm⁻³. The space group is No. 216. For the energy of formation, the calculation gives -0.1583 eV/atom.

Entry 6:
First-principles (PBE) data for a relaxed RbLa2Al4 crystal, as listed in the Alexandria database.

Cell and atoms, written as POSCAR:
```
RbLa2Al4
1.0
-2.656 2.656 8.349
2.656 -2.656 8.349
2.656 2.656 -8.349
Rb La Al
1 2 4
direct
0.000 0.000 0.000
0.374 0.374 0.000
0.626 0.626 0.000
0.000 0.500 0.500
0.184 0.184 0.000
0.500 0.000 0.500
0.816 0.816 0.000
```

Calculated values
The theoretical density comes out at 3.32 g cm⁻³. The space group is No. 139. For the energy of formation, the calculation gives 0.8401 eV/atom.

Entry 7:
First-principles (PBE) data for a relaxed RbLaAl2 crystal, as listed in the Alexandria database.

Cell and atoms, written as POSCAR:
```
RbLaAl2
1.0
0.000 3.971 3.971
3.971 0.000 3.971
3.971 3.971 0.000
Rb La Al
1 1 2
direct
0.000 0.000 0.000
0.500 0.500 0.500
0.250 0.250 0.250
0.750 0.750 0.750
```

Calculated values
The theoretical density comes out at 3.69 g cm⁻³. The space group is No. 225. For the energy of formation, the calculation gives 0.2914 eV/atom.

Entry 8:
First-principles (PBE) data for a relaxed RbLaAl2 crystal, as listed in the Alexandria database.

Cell and atoms, written as POSCAR:
```
RbLaAl2
1.0
-4.510 4.510 3.336
4.510 -4.510 3.336
4.510 4.510 -3.336
Rb La Al
2 2 4
direct
0.000 0.000 0.000
0.750 0.250 0.500
0.250 0.750 0.500
0.500 0.500 0.000
0.154 0.625 0.029
0.375 0.404 0.529
0.596 0.125 0.971
0.875 0.846 0.471
```

Calculated values
The theoretical density comes out at 3.41 g cm⁻³. The space group is No. 122. For the energy of formation, the calculation gives 0.5622 eV/atom.